Pr2ZnIn GGA-PBE relaxed; ΔE_f = -0.38 eV/atom; density = 6.83 Mg/m³; V = 112.4 Å³/cell; size of the total moment = 0.00 μB per formula unit
1.0
5.4170 0.0016 0.0011
2.7069 4.6922 0.0011
2.7069 1.5640 4.4239
In Zn Pr
1 1 2
Direct
0.2500 0.2500 0.2500 In
0.7500 0.7500 0.7500 Zn
0.0000 0.0000 0.0000 Pr
0.5000 0.5000 0.5000 Pr

=====

Ta2TlPt GGA-PBE relaxed; distance to the lowest polymorph of the same formula = 9.3 kJ per mole of atoms; ΔE_f = 0.11 eV/atom; density = 17.28 Mg/m³; V = 73.2 Å³/cell; size of the total moment = 0.00 μB per formula unit
1.0
-1.0480 -0.4125 -5.0330
4.6600 -1.9303 1.0759
-1.2024 -2.6482 0.4655
Ta Tl Pt
2 1 1
Direct
0.5000 0.5000 0.0000 Ta
0.0000 0.0000 0.0000 Ta
0.5000 0.0000 0.5000 Tl
0.0000 0.5000 0.5000 Pt

=====

Mo2P2Ir GGA-PBE relaxed; distance to the lowest polymorph of the same formula = 0.0 kJ per mole of atoms; ΔE_f = -0.18 eV/atom; density = 10.53 Mg/m³; V = 140.7 Å³/cell; size of the total moment = 0.00 μB per formula unit
1.0
-6.7192 -0.0078 -1.2751
1.2708 -0.6092 -6.6923
-0.0466 -2.9965 0.2639
Mo Ir P
4 2 4
Direct
0.6459 0.8541 0.5000 Mo
0.1459 0.6459 0.5000 Mo
0.3541 0.1459 0.5000 Mo
0.8541 0.3541 0.5000 Mo
0.0000 0.0000 0.0000 Ir
0.5000 0.5000 0.0000 Ir
0.3469 0.8469 0.0000 P
0.1531 0.3469 0.0000 P
0.8469 0.6531 0.0000 P
0.6531 0.1531 0.0000 P

=====

CuTe GGA-PBE relaxed; density = 4.99 Mg/m³; V = 381.3 Å³/cell; size of the total moment = 0.00 μB per formula unit; energy relative to the elements, uncorrected = 0.061 eV per atom
1.0
7.2513 0.0000 0.0000
0.0000 7.2513 0.0000
0.0000 0.0000 7.2513
Te Cu
6 6
Direct
0.0000 0.2500 0.5000 Te
0.0000 0.7500 0.5000 Te
0.5000 0.0000 0.7500 Te
0.7500 0.5000 0.0000 Te
0.5000 0.0000 0.2500 Te
0.2500 0.5000 0.0000 Te
0.2500 0.0000 0.5000 Cu
0.0000 0.5000 0.2500 Cu
0.5000 0.2500 0.0000 Cu
0.5000 0.7500 0.0000 Cu
0.7500 0.0000 0.5000 Cu
0.0000 0.5000 0.7500 Cu

=====

Sr8N3O4 GGA-PBE relaxed; density = 4.48 Mg/m³; V = 299.4 Å³/cell; size of the total moment = 1.04 μB per formula unit; energy relative to the elements, uncorrected = -1.569 eV per atom
1.0
-7.4411 0.4586 0.4320
3.1520 -4.4431 -5.1563
3.8234 -3.5089 5.4160
Sr O N
8 4 3
Direct
0.0000 0.2378 0.7622 Sr
0.9963 0.7598 0.7598 Sr
0.4757 0.2356 0.2356 Sr
0.0037 0.2402 0.2402 Sr
0.5000 0.7500 0.2500 Sr
0.5000 0.2500 0.7500 Sr
0.0000 0.7622 0.2378 Sr
0.5243 0.7644 0.7644 Sr
0.0000 0.0000 0.0000 O
0.5000 0.0000 0.0000 O
0.0000 0.5000 0.0000 O
0.0000 0.0000 0.5000 O
0.5000 0.0000 0.5000 N
0.5000 0.5000 0.5000 N
0.5000 0.5000 0.0000 N

=====

Sr5Li2Au5 GGA-PBE relaxed; ΔE_f = -0.62 eV/atom; density = 7.08 Mg/m³; V = 336.8 Å³/cell; size of the total moment = 0.00 μB per formula unit
1.0
-2.0259 2.7832 2.7457
-3.5316 -4.9015 5.8935
6.8514 2.1053 6.4519
Sr Li Au
5 2 5
Direct
0.6262 0.0726 0.6751 Sr
0.3171 0.2841 0.0816 Sr
0.6829 0.7159 0.9184 Sr
0.3738 0.9274 0.3249 Sr
0.0000 0.5000 0.5000 Sr
0.6175 0.5289 0.2361 Li
0.3825 0.4711 0.7639 Li
0.0705 0.6877 0.1712 Au
0.0000 0.0000 0.0000 Au
0.7054 0.2359 0.3533 Au
0.2946 0.7641 0.6467 Au
0.9295 0.3123 0.8288 Au

=====

Q: The lowest density belongs to which entry?
A: Sr8N3O4